Here is crystalline CuTcO3 at its relaxed geometry from the Alexandria database. Energies are from GGA-PBE.

Cell and atoms, written as POSCAR:
```
CuTcO3
1.0
3.724 0.000 0.000
0.000 3.724 0.000
0.000 0.000 3.724
Cu Tc O
1 1 3
Cartesian
0.000 0.000 0.000
1.862 1.862 1.862
0.000 0.000 1.862
0.000 1.862 0.000
1.862 0.000 0.000
```

size of the total moment = 4.0 Bohr magnetons per cell
crystal system = cubic
E_form (uncorrected) = 0.15 eV/atom

***

Here is crystalline ReW3 at its relaxed geometry from the Alexandria database. Energies are from GGA-PBE.

Cell and atoms, written as POSCAR:
```
ReW3
1.0
0.000 3.166 3.166
3.166 0.000 3.166
3.166 3.166 0.000
Re W
1 3
Cartesian
0.000 0.000 0.000
1.583 1.583 1.583
3.166 3.166 3.166
4.750 4.750 4.750
```

size of the total moment = 0.0 Bohr magnetons per cell
crystal system = cubic
relative energy among the computed polymorphs = 0.023 eV per atom

***

Here is crystalline YBr at its relaxed geometry from the Alexandria database. Energies are from GGA-PBE.

Cell and atoms, written as POSCAR:
```
YBr
1.0
3.630 0.000 0.000
-1.815 3.143 0.000
0.000 0.000 4.503
Y Br
1 1
Cartesian
0.000 0.000 0.000
0.000 2.096 2.251
```

size of the total moment = 0.0 Bohr magnetons per cell
crystal system = hexagonal
E_form (uncorrected) = -1.06 eV/atom

***

Here is crystalline Mn2GaCo2 at its relaxed geometry from the Alexandria database. Energies are from GGA-PBE.

Cell and atoms, written as POSCAR:
```
Mn2GaCo2
1.0
6.703 0.000 0.000
0.000 6.703 0.000
0.000 0.000 2.713
Mn Ga Co
4 2 4
Cartesian
1.116 2.236 0.000
2.236 5.587 0.000
4.468 1.116 0.000
5.587 4.468 0.000
0.000 0.000 1.356
3.352 3.352 1.356
0.864 4.216 1.356
2.488 0.864 1.356
4.216 5.839 1.356
5.839 2.488 1.356
```

size of the total moment = 10.5 Bohr magnetons per cell
crystal system = tetragonal

***

Here is crystalline TmInP at its relaxed geometry from the Alexandria database. Energies are from GGA-PBE.

Cell and atoms, written as POSCAR:
```
TmInP
1.0
2.385 1.377 8.142
-2.385 1.377 8.142
0.000 -2.754 8.142
Tm In P
2 2 2
Cartesian
0.000 0.000 2.601
0.000 0.000 21.826
0.000 0.000 7.929
0.000 0.000 16.498
0.000 0.000 5.292
0.000 0.000 19.135
```

size of the total moment = 0.0 Bohr magnetons per cell
crystal system = trigonal

***

Here is crystalline MgCF3 at its relaxed geometry from the Alexandria database. Energies are from GGA-PBE.

Cell and atoms, written as POSCAR:
```
MgCF3
1.0
3.915 0.000 0.000
0.000 3.915 0.000
0.000 0.000 3.915
Mg C F
1 1 3
Cartesian
0.000 0.000 0.000
1.958 1.958 1.958
0.000 1.958 1.958
1.958 0.000 1.958
1.958 1.958 0.000
```

size of the total moment = 0.6 Bohr magnetons per cell
crystal system = cubic
relative energy among the computed polymorphs = 0.501 eV per atom
E_form (uncorrected) = -0.42 eV/atom

***

no.,DFT total energy (Ha/atom)
1,-0.2100
2,-0.4699
3,-0.1883
4,-0.2574
5,-0.1791
6,-0.1360